A plane-wave DFT calculation with PBE was carried out for a geometry-optimized KDyP4O12 structure.

Values from the calculation:
* E: -7.265 eV per atom
* symmetry: C2/c (15)

Lattice parameters (Å, degrees): 7.194 7.194 10.376 101.21 101.21 115.04
Atoms (fractional coordinates):
Dy1 0.881 0.119 0.250
Dy2 0.119 0.881 0.750
K1 0.182 0.818 0.250
K2 0.818 0.182 0.750
O1 0.275 0.536 0.076
O2 0.867 0.844 0.079
O3 0.511 0.364 0.091
O4 0.829 0.303 0.099
O5 0.511 0.923 0.116
O6 0.201 0.246 0.186
O7 0.754 0.799 0.314
O8 0.077 0.489 0.384
O9 0.697 0.171 0.401
O10 0.636 0.488 0.409
O11 0.156 0.133 0.421
O12 0.464 0.725 0.424
O13 0.536 0.275 0.576
O14 0.844 0.867 0.579
O15 0.364 0.511 0.591
O16 0.303 0.829 0.599
O17 0.923 0.511 0.616
O18 0.246 0.201 0.686
O19 0.799 0.754 0.814
O20 0.489 0.077 0.884
O21 0.171 0.697 0.901
O22 0.488 0.636 0.909
O23 0.133 0.156 0.921
O24 0.725 0.464 0.924
P1 0.634 0.284 0.001
P2 0.261 0.305 0.065
P3 0.695 0.739 0.435
P4 0.716 0.366 0.499
P5 0.284 0.634 0.501
P6 0.305 0.261 0.565
P7 0.739 0.695 0.935
P8 0.366 0.716 0.999